(1)
TaGaI2 | the Alexandria database | PBE-GGA | optimized geometry; ΔE_f (raw) = 64.08 kJ per mole of atoms; VASP energy = -3.831 eV/atom; calculated density = 9.164 g cm⁻³; offset from the most stable computed form = 752 meV/atom; space-group type = No. 225
1.0
0.000 3.575 3.575
3.575 0.000 3.575
3.575 3.575 0.000
Ta Ga I
1 1 2
direct
0.000 0.000 0.000
0.500 0.500 0.500
0.250 0.250 0.250
0.750 0.750 0.750

(2)
ThHPd3 | the Alexandria database | PBE-GGA | optimized geometry; VASP energy = -5.746 eV/atom; calculated density = 11.531 g cm⁻³; offset from the most stable computed form = 196 meV/atom; space-group type = No. 221
1.0
4.300 0.000 0.000
0.000 4.300 0.000
0.000 0.000 4.300
Th H Pd
1 1 3
direct
0.000 0.000 0.000
0.500 0.500 0.500
0.000 0.500 0.500
0.500 0.000 0.500
0.500 0.500 0.000

(3)
Pm2SiPb | the Alexandria database | PBE-GGA | optimized geometry; ΔE_f (raw) = -39.35 kJ per mole of atoms; VASP energy = -5.066 eV/atom; calculated density = 8.251 g cm⁻³; space-group type = No. 123
1.0
4.924 0.000 0.000
0.000 4.924 0.000
0.000 0.000 4.361
Pm Si Pb
2 1 1
direct
0.000 0.500 0.000
0.500 0.000 0.000
0.000 0.000 0.500
0.500 0.500 0.500

(4)
Ca2Sn3Pd | the Alexandria database | PBE-GGA | optimized geometry; VASP energy = -4.099 eV/atom; ΔH_f (0 K) = -0.5654 eV/atom; calculated density = 5.739 g cm⁻³; space-group type = No. 25
1.0
3.905 0.000 0.000
0.000 4.884 0.000
0.000 0.000 8.234
Ca Sn Pd
2 3 1
direct
0.000 0.000 0.000
0.000 0.500 0.470
0.500 0.000 0.624
0.500 0.500 0.163
0.500 0.500 0.814
0.500 0.000 0.300

(5)
ScAl2Tc | the Alexandria database | PBE-GGA | optimized geometry; VASP energy = -6.343 eV/atom; ΔH_f (0 K) = -0.2978 eV/atom; calculated density = 4.973 g cm⁻³; offset from the most stable computed form = 116 meV/atom; space-group type = No. 6
1.0
2.971 0.000 0.000
0.000 4.378 0.000
-0.647 0.000 5.055
Sc Al Tc
1 2 1
direct
0.000 0.000 0.000
0.442 0.500 0.782
0.446 0.000 0.489
0.815 0.500 0.306

(6)
TbPmNiPd | the Alexandria database | PBE-GGA | optimized geometry; VASP energy = -5.701 eV/atom; ΔH_f (0 K) = -0.6119 eV/atom; calculated density = 8.735 g cm⁻³; offset from the most stable computed form = 0 meV/atom; space-group type = No. 38
1.0
4.452 0.000 0.000
0.000 1.917 5.223
0.000 -1.917 5.223
Tb Pm Ni Pd
1 1 1 1
direct
0.000 0.000 0.000
0.500 0.722 0.722
0.500 0.445 0.445
0.000 0.286 0.286